No. 1
P3PtN: relaxed, PBE-GGA.

The energy above the most stable polymorph in this dataset comes out at 1.209 eV/atom. The uncorrected formation energy is 188 kJ/mol of atoms.

It has space group Pm-3m (No. 221), with a = 4.6512 Å, b = 4.6512 Å, c = 4.6512 Å, α = 90.00°, β = 90.00° and γ = 90.00°. The distinct sites, in fractional coordinates, are P at (0.0000, 0.0000, 0.5000), Pt at (0.0000, 0.0000, 0.0000) and N at (0.5000, 0.5000, 0.5000).

=====

No. 2
PPtN3: relaxed, PBE-GGA.

The uncorrected formation energy is 210 kJ/mol of atoms.

It has space group Pm-3m (No. 221), with a = 3.8930 Å, b = 3.8930 Å, c = 3.8930 Å, α = 90.00°, β = 90.00° and γ = 90.00°. The distinct sites, in fractional coordinates, are P at (0.0000, 0.0000, 0.0000), Pt at (0.5000, 0.5000, 0.5000) and N at (0.0000, 0.5000, 0.5000).

=====

No. 3
PPtN2: relaxed, PBE-GGA.

The uncorrected formation energy is -7 kJ/mol of atoms.

It has space group R-3m (No. 166, hexagonal axes), with a = 2.7467 Å, b = 2.7467 Å, c = 18.0235 Å, α = 90.00°, β = 90.00° and γ = 120.00°. The distinct sites, in fractional coordinates, are P at (0.0000, 0.0000, 0.0000), Pt at (0.0000, 0.0000, 0.5000) and N at (0.0000, 0.0000, 0.3857).

=====

No. 4
PPtN: relaxed, PBE-GGA.

The uncorrected formation energy is -20 kJ/mol of atoms.

It has space group P-1 (No. 2), with a = 2.7343 Å, b = 5.3951 Å, c = 5.9449 Å, α = 71.31°, β = 89.69° and γ = 75.33°. The distinct sites, in fractional coordinates, are P at (0.1422, 0.2160, 0.1816), Pt at (0.0601, 0.3825, 0.7561) and N at (0.2596, 0.9820, 0.7376).

=====

No. 5
PPt2N: relaxed, PBE-GGA.

The energy above the most stable polymorph in this dataset comes out at 0.503 eV/atom. The uncorrected formation energy is 78 kJ/mol of atoms.

It has space group Fm-3m (No. 225), with a = 5.8889 Å, b = 5.8889 Å, c = 5.8889 Å, α = 90.00°, β = 90.00° and γ = 90.00°. The distinct sites, in fractional coordinates, are P at (0.0000, 0.0000, 0.0000), Pt at (0.2500, 0.2500, 0.2500) and N at (0.0000, 0.0000, 0.5000).

=====

No. 6
PPtN2: relaxed, PBE-GGA.

The uncorrected formation energy is 40 kJ/mol of atoms.

It has space group I-42d (No. 122), with a = 4.7234 Å, b = 4.7234 Å, c = 7.7867 Å, α = 90.00°, β = 90.00° and γ = 90.00°. The distinct sites, in fractional coordinates, are P at (0.0000, 0.0000, 0.0000), Pt at (0.0000, 0.0000, 0.5000) and N at (0.1385, 0.2500, 0.1250).

=====

No. 7
PRuPtN2: relaxed, PBE-GGA.

The uncorrected formation energy is 140 kJ/mol of atoms.

It has space group P4/mmm (No. 123), with a = 3.6593 Å, b = 3.6593 Å, c = 5.7993 Å, α = 90.00°, β = 90.00° and γ = 90.00°. The distinct sites, in fractional coordinates, are P at (0.0000, 0.0000, 0.0000), Ru at (0.5000, 0.5000, 0.0000), Pt at (0.5000, 0.5000, 0.5000) and N at (0.0000, 0.5000, 0.5000).

=====

No. 8
PPtS2N: relaxed, PBE-GGA.

The energy above the most stable polymorph in this dataset comes out at 0.343 eV/atom. The uncorrected formation energy is 99 kJ/mol of atoms.

It has space group P4/mmm (No. 123), with a = 4.8960 Å, b = 4.8960 Å, c = 3.6635 Å, α = 90.00°, β = 90.00° and γ = 90.00°. The distinct sites, in fractional coordinates, are P at (0.0000, 0.0000, 0.0000), Pt at (0.5000, 0.5000, 0.5000), S at (0.0000, 0.5000, 0.5000) and N at (0.5000, 0.5000, 0.0000).